DFT (PBE) results for a geometry-optimized ZnSn2Pb8 structure.

The space group is C2/m (No. 12) and the conventional cell measures 14.3319, 8.3566 and 5.9963 Å, with angles of 90.00, 104.96 and 90.00 degrees. The asymmetric unit holds Zn at (0.0000, 0.0000, 0.0000), Sn at (0.1116, 0.0000, 0.4590), Pb at (0.0666, 0.2911, 0.7857), Pb at (0.1461, 0.5000, 0.3703) and Pb at (0.2249, 0.0000, 0.0389).

The energy of formation is 0.113 eV/atom. The density of states at the Fermi level is 10.08 states/eV/cell. The crystal system is monoclinic. Its total energy is -75.417 eV for the cell shown.